## Mg4Tl2Bi (PBE)

Data for a relaxed structure of Mg4Tl2Bi.

## Properties
Distance to the lowest polymorph of the same formula = 9 meV/atom
Electronic total energy = -2.179 eV per atom
Crystal system = tetragonal
Energy of formation = -38 meV per atom
Size of the total moment = 0.00 Bohr magnetons per cell

Cell lengths 7.807, 7.807, 7.807 Å; angles 110.20, 110.20, 108.06 degrees
Element x y z (fractional)
1 Tl 0.505 0.875 0.130
2 Mg 0.709 0.959 0.583
3 Mg 0.377 0.127 0.417
4 Bi 0.250 0.750 0.500
5 Mg 0.873 0.291 0.250
6 Tl 0.745 0.375 0.870
7 Mg 0.209 0.459 0.083
8 Mg 0.041 0.623 0.750
9 Mg 0.376 0.126 0.918
10 Tl 0.625 0.495 0.370
11 Bi 0.000 0.000 0.000
12 Tl 0.125 0.255 0.630
13 Mg 0.541 0.623 0.750
14 Mg 0.874 0.791 0.250